# Ti6AlTc5 PBE optimized geometry
# final energy = -9.10 eV per atom
# density of states at the Fermi level = 8.4 states/eV/cell
# crystal system = orthorhombic
# symmetry = Immm, No. 71
# ΔH_f (0 K) = -0.52 eV per atom
data_Ti6AlTc5
_symmetry_space_group_name_H-M 'P 1'
_symmetry_Int_Tables_number 1
_symmetry_space_group_name_Hall 'P 1'
_cell_length_a 4.374
_cell_length_b 6.290
_cell_length_c 7.626
_cell_angle_alpha 114.36
_cell_angle_beta 106.67
_cell_angle_gamma 90.00
loop_
_atom_site_label
_atom_site_fract_x
_atom_site_fract_y
_atom_site_fract_z
_atom_site_occupancy
Tc1 0.660 0.160 0.319 1
Tc2 0.332 0.332 0.663 1
Tc3 0.000 0.500 0.000 1
Tc4 0.668 0.668 0.337 1
Tc5 0.340 0.840 0.681 1
Al1 0.000 0.000 0.000 1
Ti1 0.829 0.573 0.658 1
Ti2 0.829 0.085 0.658 1
Ti3 0.500 0.734 0.000 1
Ti4 0.500 0.266 0.000 1
Ti5 0.171 0.915 0.342 1
Ti6 0.171 0.427 0.342 1